Density functional theory data (PBE) for a geometry-optimized ReMo structure.

abc: 2.703 4.450 5.217
angles: 90.00 100.26 90.00
Space group P2_1/m (No. 11)
Symmetry-distinct sites (fractional):
Re: 0.141 0.250 0.374
Mo: 0.384 0.750 0.128

## Properties
Energy of formation ... 0.096 eV/atom